[1]
! Ac2ThSb3Rh6 (PBE, optimized geometry); values from VASP
! Total magnetic moment (μB/f.u.): 0.0
! Energy relative to the elements, uncorrected (meV per atom): -619
! Density of states at the Fermi level (states/eV per atom): 0.5834
&SYSTEM
  ibrav = 0, nat = 12, ntyp = 4
/
ATOMIC_SPECIES
Rh 102.91 Rh.upf
Th 232.04 Th.upf
Sb 121.76 Sb.upf
Ac 227.00 Ac.upf
ATOMIC_POSITIONS angstrom
Rh 2.0823 0.0000 6.6782
Rh 2.0823 0.0000 10.6383
Rh 0.0000 2.0823 10.6383
Rh 0.0000 2.0823 6.6782
Rh 0.0000 0.0000 14.7325
Rh 0.0000 0.0000 2.5840
Th 2.0823 2.0823 8.6583
Sb 0.0000 0.0000 12.1692
Sb 0.0000 0.0000 5.1473
Sb 0.0000 0.0000 0.0000
Ac 2.0823 2.0823 14.7854
Ac 2.0823 2.0823 2.5311
CELL_PARAMETERS angstrom
4.1646 0.0000 0.0000
0.0000 4.1646 0.0000
0.0000 0.0000 17.3166



[2]
! AcThSb2Rh5 (PBE, optimized geometry); values from VASP
! Total magnetic moment (μB/f.u.): 0.0
! Energy relative to the elements, uncorrected (meV per atom): -522
! Density of states at the Fermi level (states/eV per atom): 0.9429
&SYSTEM
  ibrav = 0, nat = 9, ntyp = 4
/
ATOMIC_SPECIES
Ac 227.00 Ac.upf
Rh 102.91 Rh.upf
Th 232.04 Th.upf
Sb 121.76 Sb.upf
ATOMIC_POSITIONS angstrom
Ac 0.0000 0.0000 4.4785
Rh 2.2911 0.0000 2.4478
Rh 0.0000 2.2911 2.4478
Rh 2.2911 2.2911 4.4785
Rh 0.0000 2.2911 6.5091
Rh 2.2911 0.0000 6.5091
Th 0.0000 0.0000 0.0000
Sb 2.2911 2.2911 1.4179
Sb 2.2911 2.2911 7.5390
CELL_PARAMETERS angstrom
4.5821 0.0000 0.0000
0.0000 4.5821 0.0000
0.0000 0.0000 8.9569



[3]
! Ac2TlSb3Rh4 (PBE, optimized geometry); values from VASP
! Total magnetic moment (μB/f.u.): 0.0
! Energy relative to the elements, uncorrected (meV per atom): -724
! Density of states at the Fermi level (states/eV per atom): 0.7654
&SYSTEM
  ibrav = 0, nat = 10, ntyp = 4
/
ATOMIC_SPECIES
Rh 102.91 Rh.upf
Tl 204.38 Tl.upf
Sb 121.76 Sb.upf
Ac 227.00 Ac.upf
ATOMIC_POSITIONS angstrom
Rh 0.0000 0.0000 0.0000
Rh 0.2806 -3.2276 0.3398
Rh -2.8866 -1.5596 3.1837
Rh -6.8685 -2.0993 1.3458
Tl -4.7373 -3.4433 2.4347
Sb -9.2618 -2.2022 2.3449
Sb -5.0179 -0.2157 2.0949
Sb -0.4934 -1.4568 2.1846
Ac -6.8013 -1.7279 4.8180
Ac -2.9539 -1.9310 -0.2885
CELL_PARAMETERS angstrom
-0.9484 -3.6489 -2.6475
1.5096 -2.8063 3.3270
-10.0358 -0.4313 4.1897



[4]
! AcYSb2Rh5 (PBE, optimized geometry); values from VASP
! Total magnetic moment (μB/f.u.): 0.0
! Energy relative to the elements, uncorrected (meV per atom): -498
! Density of states at the Fermi level (states/eV per atom): 0.5669
&SYSTEM
  ibrav = 0, nat = 9, ntyp = 4
/
ATOMIC_SPECIES
Rh 102.91 Rh.upf
Y 88.91 Y.upf
Sb 121.76 Sb.upf
Ac 227.00 Ac.upf
ATOMIC_POSITIONS angstrom
Rh 2.2689 2.2689 4.5290
Rh 2.2689 0.0000 2.4752
Rh 0.0000 2.2689 2.4752
Rh 2.2689 0.0000 6.5827
Rh 0.0000 2.2689 6.5827
Y 0.0000 0.0000 0.0000
Sb 2.2689 2.2689 7.6422
Sb 2.2689 2.2689 1.4157
Ac 0.0000 0.0000 4.5290
CELL_PARAMETERS angstrom
4.5378 0.0000 0.0000
0.0000 4.5378 0.0000
0.0000 0.0000 9.0580